Arrangement a

Below is an optimized crystal structure of Y3PbW, with properties calculated at the PBE level.

Calculated values
ρ = 5.991 Mg/m³

Cell: 5.6703 5.6703 5.6703 Å, 90.00 90.00 90.00°
With the nearest neighbours (Å) after each atom.
Element x y z (fractional)
W: 0.5000 0.5000 0.5000  12 Y 4.01
Y: 0.0000 0.5000 0.0000  2 Pb 2.84
Y: 0.0000 0.0000 0.5000  2 Pb 2.84
Pb: 0.0000 0.0000 0.0000  6 Y 2.84
Y: 0.5000 0.0000 0.0000  2 Pb 2.84

---

Arrangement b

Below is an optimized crystal structure of Y3PbW, with properties calculated at the PBE level.

Calculated values
ρ = 6.894 Mg/m³

Cell: 5.4111 5.4111 5.4111 Å, 90.00 90.00 90.00°
With the nearest neighbours (Å) after each atom.
Element x y z (fractional)
Y: 0.5000 0.0000 0.0000  2 W 2.71
Pb: 0.5000 0.5000 0.5000  12 Y 3.83
W: 0.0000 0.0000 0.0000  6 Y 2.71
Y: 0.0000 0.0000 0.5000  2 W 2.71
Y: 0.0000 0.5000 0.0000  2 W 2.71

---

The most stable arrangement is arrangement b, and the next structure is 873 meV per atom less stable.

---

Arrangement a

Below is an optimized crystal structure of ZrPbW, with properties calculated at the PBE level.

Calculated values
ρ = 12.558 Mg/m³

Cell: 3.1068 3.1068 7.6288 Å, 90.00 90.00 120.00°
With the nearest neighbours (Å) after each atom.
Element x y z (fractional)
Pb: 0.0000 0.0000 0.0115  3 W 3.03, 6 Pb 3.11, 3 Zr 3.24
Zr: 0.3333 0.6667 0.6572  3 W 3.07, 6 Zr 3.11, 3 Pb 3.24
W: 0.6667 0.3333 0.3312  3 Pb 3.03, 3 Zr 3.07, 6 W 3.11

---

Arrangement b

Below is an optimized crystal structure of ZrPbW, with properties calculated at the PBE level.

Calculated values
ρ = 10.831 Mg/m³

Cell: 4.7111 4.7111 4.7111 Å, 60.00 60.00 60.00°
With the nearest neighbours (Å) after each atom.
Element x y z (fractional)
Zr: 0.0000 0.0000 0.0000  4 W 2.88
Pb: 0.5000 0.5000 0.5000  4 W 2.88
W: 0.7500 0.7500 0.7500  4 Pb 2.88, 4 Zr 2.88

---

Arrangement c

Below is an optimized crystal structure of ZrPbW, with properties calculated at the PBE level.

Calculated values
ρ = 12.895 Mg/m³

Cell: 5.3825 5.3825 5.3825 Å, 140.68 140.68 56.82°
With the nearest neighbours (Å) after each atom.
Element x y z (fractional)
Pb: 0.9953 0.9953 0.0000  5 Zr 3.00-3.09, 5 W 3.02-3.14
W: 0.3266 0.3266 0.0000  4 Zr 2.92, 5 Pb 3.02-3.14
Zr: 0.6780 0.6780 0.0000  4 W 2.92, 5 Pb 3.00-3.09

---

Arrangement d

Below is an optimized crystal structure of ZrPbW, with properties calculated at the PBE level.

Calculated values
ρ = 12.729 Mg/m³

Cell: 4.9843 4.9843 2.9241 Å, 90.00 90.00 120.00°
With the nearest neighbours (Å) after each atom.
Element x y z (fractional)
Zr: 0.6667 0.3333 0.6670  2 Zr 2.92, 6 Pb 3.23, 6 W 3.23
Pb: 0.0000 0.0000 0.1661  3 W 2.88, 2 Pb 2.92
W: 0.3333 0.6667 0.1669  3 Pb 2.88, 2 W 2.92

---

The most stable arrangement is arrangement c, and the next structure is 148 meV per atom less stable.

---

Arrangement a

Below is an optimized crystal structure of Y5Pb4, with properties calculated at the PBE level.

Calculated values
ρ = 7.923 Mg/m³

Cell: 8.2169 8.2923 15.6675 Å, 90.00 90.00 90.00°
With the nearest neighbours (Å) after each atom.
Element x y z (fractional)
Y: 0.4640 0.3243 0.9005  6 Pb 3.16-3.49
Y: 0.0360 0.8243 0.0995  6 Pb 3.16-3.49
Y: 0.7092 0.0037 0.2500  6 Pb 3.13-3.29
Pb: 0.8478 0.6527 0.2500  8 Y 3.13-3.49, 1 Pb 3.23
Y: 0.6243 0.8433 0.6209  6 Pb 3.11-3.28
Pb: 0.5709 0.3757 0.2500  8 Y 3.14-3.44, 1 Pb 3.23
Pb: 0.9291 0.8757 0.7500  8 Y 3.14-3.44, 1 Pb 3.23
Y: 0.2092 0.4963 0.2500  6 Pb 3.13-3.29
Y: 0.6243 0.8433 0.8791  6 Pb 3.11-3.28
Pb: 0.2818 0.9660 0.5431  7 Y 3.11-3.44
Pb: 0.7182 0.0340 0.4569  7 Y 3.11-3.44
Y: 0.0360 0.8243 0.4005  6 Pb 3.16-3.49
Y: 0.3757 0.1567 0.1209  6 Pb 3.11-3.28
Y: 0.2908 0.9963 0.7500  6 Pb 3.13-3.29
Y: 0.9640 0.1757 0.5995  6 Pb 3.16-3.49
Y: 0.7908 0.5037 0.7500  6 Pb 3.13-3.29
Pb: 0.7818 0.5340 0.9569  7 Y 3.11-3.44
Pb: 0.3478 0.8473 0.2500  8 Y 3.13-3.49, 1 Pb 3.23
Y: 0.1243 0.6567 0.6209  6 Pb 3.11-3.28
Pb: 0.2818 0.9660 0.9569  7 Y 3.11-3.44
Y: 0.5360 0.6757 0.4005  6 Pb 3.16-3.49
Pb: 0.4291 0.6243 0.7500  8 Y 3.14-3.44, 1 Pb 3.23
Y: 0.5360 0.6757 0.0995  6 Pb 3.16-3.49
Y: 0.8757 0.3433 0.1209  6 Pb 3.11-3.28
Pb: 0.1522 0.3473 0.7500  8 Y 3.13-3.49, 1 Pb 3.23
Pb: 0.0709 0.1243 0.2500  8 Y 3.14-3.44, 1 Pb 3.23
Pb: 0.6522 0.1527 0.7500  8 Y 3.13-3.49, 1 Pb 3.23
Y: 0.8757 0.3433 0.3791  6 Pb 3.11-3.28
Pb: 0.7818 0.5340 0.5431  7 Y 3.11-3.44
Y: 0.3757 0.1567 0.3791  6 Pb 3.11-3.28
Pb: 0.2182 0.4660 0.0431  7 Y 3.11-3.44
Pb: 0.2182 0.4660 0.4569  7 Y 3.11-3.44
Y: 0.4640 0.3243 0.5995  6 Pb 3.16-3.49
Y: 0.1243 0.6567 0.8791  6 Pb 3.11-3.28
Pb: 0.7182 0.0340 0.0431  7 Y 3.11-3.44
Y: 0.9640 0.1757 0.9005  6 Pb 3.16-3.49

---

Arrangement b

Below is an optimized crystal structure of Y5Pb4, with properties calculated at the PBE level.

Calculated values
ρ = 7.797 Mg/m³

Cell: 7.5689 7.5689 7.5689 Å, 97.40 97.40 137.93°
With the nearest neighbours (Å) after each atom.
Element x y z (fractional)
Y: 0.6760 0.3240 0.0000  6 Pb 3.24-3.53, 4 Y 3.43-3.52
Pb: 0.3164 0.0000 0.3164  7 Y 3.16-3.53
Pb: 0.6836 0.0000 0.6836  7 Y 3.16-3.53
Pb: 0.0000 0.6836 0.6836  7 Y 3.16-3.53
Y: 0.0000 0.0000 0.0000  4 Pb 3.16
Y: 0.3240 0.6760 0.0000  6 Pb 3.24-3.53, 4 Y 3.43-3.52
Pb: 0.0000 0.3164 0.3164  7 Y 3.16-3.53
Y: 0.3240 0.3240 0.6479  6 Pb 3.24-3.53, 4 Y 3.43-3.52
Y: 0.6760 0.6760 0.3521  6 Pb 3.24-3.53, 4 Y 3.43-3.52

---

The most stable arrangement is arrangement a, and the next structure is 341 meV per atom less stable.

---

Arrangement a

Below is an optimized crystal structure of Y2Pb3, with properties calculated at the PBE level.

Calculated values
ρ = 8.256 Mg/m³

Cell: 5.2807 5.2807 6.6582 Å, 90.00 90.00 120.00°
With the nearest neighbours (Å) after each atom.
Element x y z (fractional)
Y: 0.6667 0.3333 0.1464  8 Pb 3.20-3.45
Y: 0.3333 0.6667 0.8536  8 Pb 3.20-3.45
Pb: 0.0000 0.0000 0.0000  6 Y 3.20
Pb: 0.6667 0.3333 0.6280  5 Y 3.21-3.45, 3 Pb 3.49
Pb: 0.3333 0.6667 0.3720  5 Y 3.21-3.45, 3 Pb 3.49

---

Arrangement b

Below is an optimized crystal structure of Y2Pb3, with properties calculated at the PBE level.

Calculated values
ρ = 8.854 Mg/m³

Cell: 4.3886 11.1478 12.2585 Å, 90.00 90.00 90.00°
With the nearest neighbours (Å) after each atom.
Element x y z (fractional)
Pb: 0.7500 0.0543 0.5971  4 Pb 3.26-3.46, 5 Y 3.32-3.46
Pb: 0.2500 0.5601 0.5779  4 Pb 3.20-3.53, 4 Y 3.21-3.25
Y: 0.7500 0.7582 0.5130  7 Pb 3.10-3.46
Pb: 0.7500 0.0601 0.9221  4 Pb 3.20-3.53, 4 Y 3.21-3.25
Pb: 0.7500 0.7958 0.2612  5 Y 3.10-3.24, 2 Pb 3.26
Y: 0.2500 0.2418 0.4870  7 Pb 3.10-3.46
Y: 0.2500 0.2582 0.9870  7 Pb 3.10-3.46
Pb: 0.2500 0.9457 0.4029  4 Pb 3.26-3.46, 5 Y 3.32-3.46
Y: 0.7500 0.7418 0.0130  7 Pb 3.10-3.46
Y: 0.2500 0.5828 0.2762  7 Pb 3.23-3.46
Y: 0.2500 0.9172 0.7762  7 Pb 3.23-3.46
Pb: 0.2500 0.2042 0.7388  5 Y 3.10-3.24, 2 Pb 3.26
Y: 0.7500 0.0828 0.2238  7 Pb 3.23-3.46
Pb: 0.2500 0.5543 0.9029  4 Pb 3.26-3.46, 5 Y 3.32-3.46
Pb: 0.2500 0.2958 0.2388  5 Y 3.10-3.24, 2 Pb 3.26
Pb: 0.7500 0.7042 0.7612  5 Y 3.10-3.24, 2 Pb 3.26
Pb: 0.7500 0.4399 0.4221  4 Pb 3.20-3.53, 4 Y 3.21-3.25
Pb: 0.2500 0.9399 0.0779  4 Pb 3.20-3.53, 4 Y 3.21-3.25
Pb: 0.7500 0.4457 0.0971  4 Pb 3.26-3.46, 5 Y 3.32-3.46
Y: 0.7500 0.4172 0.7238  7 Pb 3.23-3.46

---

Arrangement c

Below is an optimized crystal structure of Y2Pb3, with properties calculated at the PBE level.

Calculated values
ρ = 9.241 Mg/m³

Cell: 6.5214 6.4428 8.5724 Å, 78.90 67.64 59.60°
With the nearest neighbours (Å) after each atom.
Element x y z (fractional)
Y: 0.9081 0.0799 0.6043  8 Pb 3.19-3.54
Y: 0.7379 0.4201 0.1043  8 Pb 3.19-3.54
Y: 0.2624 0.5799 0.8957  8 Pb 3.19-3.54
Pb: 0.6876 0.0000 0.0000  6 Y 3.19-3.54, 4 Pb 3.45-3.51
Pb: 0.2634 0.1200 0.7951  5 Y 3.24-3.43, 5 Pb 3.30-3.51
Pb: 0.8085 0.6200 0.7049  5 Y 3.24-3.43, 5 Pb 3.30-3.51
Pb: 0.1334 0.3800 0.2951  5 Y 3.24-3.43, 5 Pb 3.30-3.51
Pb: 0.1785 0.8800 0.2049  5 Y 3.24-3.43, 5 Pb 3.30-3.51
Pb: 0.4376 0.5000 0.5000  6 Y 3.19-3.54, 4 Pb 3.45-3.51
Y: 0.5923 0.9201 0.3957  8 Pb 3.19-3.54

---

The most stable arrangement is arrangement c, and the next structure is 56 meV per atom less stable.

---

Arrangement a

Below is an optimized crystal structure of YZn3Pb, with properties calculated at the PBE level.

Calculated values
ρ = 5.098 Mg/m³

Cell: 5.4329 5.4329 5.4329 Å, 90.00 90.00 90.00°
With the nearest neighbours (Å) after each atom.
Element x y z (fractional)
Zn: 0.5000 0.0000 0.0000  2 Y 2.72
Y: 0.0000 0.0000 0.0000  6 Zn 2.72
Zn: 0.0000 0.0000 0.5000  2 Y 2.72
Zn: 0.0000 0.5000 0.0000  2 Y 2.72
Pb: 0.5000 0.5000 0.5000  12 Zn 3.84

---

Arrangement b

Below is an optimized crystal structure of YZn3Pb, with properties calculated at the PBE level.

Calculated values
ρ = 5.886 Mg/m³

Cell: 5.1788 5.1788 5.1788 Å, 90.00 90.00 90.00°
With the nearest neighbours (Å) after each atom.
Element x y z (fractional)
Zn: 0.0000 0.0000 0.5000  2 Pb 2.59
Zn: 0.0000 0.5000 0.0000  2 Pb 2.59
Zn: 0.5000 0.0000 0.0000  2 Pb 2.59
Pb: 0.0000 0.0000 0.0000  6 Zn 2.59
Y: 0.5000 0.5000 0.5000  12 Zn 3.66

---

The most stable arrangement is arrangement b, and the next structure is 201 meV per atom less stable.